Entry 1:
Material: Tb6SmTl
Method: DFT, PBE
State: optimized geometry

Results
space-group type: No. 123
total moment: 0.00 μB/atom
energy relative to the lowest polymorph listed for this composition: 0 meV per atom

POSCAR file:
```
Tb6SmTl
1.0
-2.908 -2.164 -3.327
3.168 -3.751 -0.329
-4.929 -4.815 7.439
Tb Sm Tl
6 1 1
Cartesian
0.130 -2.958 -1.828
-2.335 -5.365 1.891
-2.656 -2.255 0.149
-5.182 -4.723 3.962
0.382 -3.049 1.649
-2.144 -5.517 5.461
-2.464 -2.407 3.720
0.000 0.000 0.000
```

=====

Entry 2:
Material: TbSm5Tl4
Method: DFT, PBE
State: optimized geometry

Results
space-group type: No. 123
total moment: 0.00 μB/atom

POSCAR file:
```
TbSm5Tl4
1.0
3.663 0.000 0.000
0.000 3.663 0.000
0.000 0.000 22.212
Tb Sm Tl
1 5 4
Cartesian
0.000 0.000 0.000
1.832 1.832 2.527
1.832 1.832 6.805
1.832 1.832 11.106
1.832 1.832 15.407
1.832 1.832 19.685
0.000 0.000 4.661
0.000 0.000 8.959
0.000 0.000 13.253
0.000 0.000 17.551
```

=====

Entry 3:
Material: Tb8SmTl6
Method: DFT, PBE
State: optimized geometry

Results
space-group type: No. 148
total moment: 0.00 μB/atom

POSCAR file:
```
Tb8SmTl6
1.0
-6.385 5.718 3.241
-8.479 -0.159 -3.472
-6.688 -2.597 4.360
Tb Sm Tl
8 1 6
Cartesian
-7.654 2.302 2.468
-10.383 2.682 5.062
-8.938 -1.184 1.749
-16.596 1.114 4.201
-4.957 1.848 -0.072
-12.614 4.146 2.380
-11.170 0.280 -0.933
-13.898 0.661 1.661
0.000 0.000 0.000
-8.506 0.171 4.606
-9.565 4.819 2.916
-8.105 0.972 -0.372
-13.447 1.990 4.501
-11.987 -1.856 1.213
-13.046 2.792 -0.477
```

=====

Entry 4:
Material: Tb4SmTl7
Method: DFT, PBE
State: optimized geometry

Results
space-group type: No. 12
total moment: 0.00 μB/atom

POSCAR file:
```
Tb4SmTl7
1.0
-5.312 -1.494 -1.521
0.895 -6.330 -7.679
-2.342 -6.050 3.350
Tb Sm Tl
4 1 7
Cartesian
-4.349 -5.942 -0.514
-2.410 -7.931 -5.335
-5.307 -10.689 -3.279
-1.452 -3.184 -2.570
0.000 0.000 0.000
-4.618 -10.080 -6.285
-2.142 -3.794 0.436
-0.211 -5.383 -4.746
-6.548 -8.490 -1.103
-3.158 -8.363 -2.299
-2.656 -0.747 -0.761
-3.602 -5.510 -3.550
```

=====

Entry 5:
Material: TbSm5Tl5
Method: DFT, PBE
State: optimized geometry

Results
space-group type: No. 12
total moment: 0.00 μB/atom

POSCAR file:
```
TbSm5Tl5
1.0
-0.852 3.101 5.004
6.588 -5.746 1.146
3.835 5.401 -2.694
Tb Sm Tl
1 5 5
Cartesian
0.000 0.000 0.000
2.865 2.574 2.428
5.272 5.025 1.319
1.918 2.700 -1.347
4.299 -2.268 2.137
6.707 0.182 1.028
4.640 0.293 4.143
6.486 2.688 2.974
-0.426 1.551 2.502
3.086 0.069 0.483
4.932 2.463 -0.687
```

=====

Entry 6:
Material: Tb3Sm4Tl2
Method: DFT, PBE
State: optimized geometry

Results
space-group type: No. 15
total moment: 0.00 μB/atom

POSCAR file:
```
Tb3Sm4Tl2
1.0
6.554 0.738 0.528
1.213 9.440 -0.857
1.213 2.230 9.213
Tb Sm Tl
6 8 4
Cartesian
0.528 1.015 1.410
5.175 10.377 8.113
8.452 11.393 7.474
3.805 2.031 0.771
2.852 5.963 4.388
6.129 6.445 4.496
4.511 8.889 2.259
1.193 7.036 0.933
4.470 3.520 6.625
7.788 5.372 7.951
1.730 2.481 4.443
3.974 7.034 7.702
7.251 9.927 4.441
5.007 5.374 1.182
4.863 3.203 3.570
7.395 8.366 7.266
4.118 9.205 5.314
1.586 4.043 1.618
```

=====

Entry 7:
Material: TbSm3Tl4
Method: DFT, PBE
State: optimized geometry

Results
space-group type: No. 31
total moment: 0.00 μB/atom
energy relative to the lowest polymorph listed for this composition: 134 meV per atom

POSCAR file:
```
TbSm3Tl4
1.0
6.764 0.000 0.000
0.000 6.765 0.000
0.000 0.000 10.075
Tb Sm Tl
2 6 8
Cartesian
5.514 3.378 0.000
2.132 3.387 5.038
5.503 6.761 0.000
0.435 5.069 2.518
3.817 1.695 2.520
2.121 0.004 5.038
3.817 1.695 7.556
0.435 5.069 7.557
2.122 0.005 0.000
2.132 3.386 0.000
0.435 1.700 2.519
3.817 5.065 2.519
5.514 3.378 5.038
5.504 6.759 5.038
3.817 5.065 7.556
0.435 1.700 7.557
```

=====

Entry 8:
Material: Tb2SmTl
Method: DFT, PBE
State: optimized geometry

Results
space-group type: No. 123
total moment: 0.00 μB/atom
energy relative to the lowest polymorph listed for this composition: 20 meV per atom

POSCAR file:
```
Tb2SmTl
1.0
3.645 0.000 0.000
0.000 3.645 0.000
0.000 0.000 9.205
Tl Tb Sm
1 2 1
Cartesian
1.823 1.823 0.000
0.000 0.000 7.125
0.000 0.000 2.080
1.823 1.823 4.602
```

=====

Entry 9:
Material: Tb3SmTl
Method: DFT, PBE
State: optimized geometry

Results
space-group type: No. 63
total moment: 0.00 μB/atom
energy relative to the lowest polymorph listed for this composition: 0 meV per atom

POSCAR file:
```
Tb3SmTl
1.0
-2.063 3.905 -2.037
-0.481 -2.427 -4.165
-12.519 -2.169 2.711
Tb Sm Tl
6 2 2
Cartesian
-3.002 2.188 -2.337
-12.203 -1.113 0.650
-7.565 0.551 -0.855
-2.134 -0.951 -3.425
-13.398 -0.347 -2.476
-6.772 -2.615 -1.919
-10.132 -1.497 -2.182
-4.205 -0.566 -0.593
-5.588 0.133 -3.658
-10.812 1.708 -1.155
```

=====

Entry 10:
Material: Tb2Sm3Tl2
Method: DFT, PBE
State: optimized geometry

Results
space-group type: No. 65
total moment: 0.05 μB/atom
energy relative to the lowest polymorph listed for this composition: 103 meV per atom

POSCAR file:
```
Tb2Sm3Tl2
1.0
-4.096 0.427 -2.736
1.588 -1.724 -2.646
-6.094 -10.297 3.051
Tb Sm Tl
2 3 2
Cartesian
-5.622 -6.462 -1.525
-2.980 -5.131 -0.806
-5.255 -2.583 -1.471
0.000 0.000 0.000
-4.936 -7.287 1.786
-6.759 -9.415 -0.283
-1.843 -2.179 -2.047
```

=====

Entry 11:
Material: Tb5SmTl6
Method: DFT, PBE
State: optimized geometry

Results
space-group type: No. 12
total moment: 0.00 μB/atom
energy relative to the lowest polymorph listed for this composition: 0 meV per atom

POSCAR file:
```
Tb5SmTl6
1.0
5.196 -0.011 -1.461
-3.903 7.555 -3.928
-0.202 -1.108 9.299
Tl Tb Sm
6 5 1
Cartesian
0.895 0.165 3.207
1.439 3.359 5.147
2.875 1.629 0.263
-1.785 4.806 3.647
-0.348 3.076 -1.237
0.195 6.270 0.703
1.784 0.318 6.382
-1.435 1.777 4.893
0.545 3.218 1.955
2.525 4.658 -0.983
-0.693 6.117 -2.472
0.000 0.000 0.000
```

=====

Entry 12:
Material: Tb4Sm4Tl
Method: DFT, PBE
State: optimized geometry

Results
space-group type: No. 2
total moment: 0.00 μB/atom
energy relative to the lowest polymorph listed for this composition: 51 meV per atom

POSCAR file:
```
Tb4Sm4Tl
1.0
-6.496 3.043 2.818
5.889 -2.400 6.735
4.692 2.848 3.138
Tb Sm Tl
4 4 1
Cartesian
0.837 0.605 6.590
3.248 2.885 6.101
1.724 1.600 3.174
2.361 1.890 9.517
0.361 4.153 7.759
3.724 -0.663 4.932
5.047 0.504 7.930
-0.962 2.987 4.761
0.000 0.000 0.000
```

=====

Entry 13:
Material: Tb2Sm2Tl5
Method: DFT, PBE
State: optimized geometry

Results
space-group type: No. 46
total moment: 0.00 μB/atom

POSCAR file:
```
Tb2Sm2Tl5
1.0
-0.571 4.280 5.809
-1.643 -7.910 5.666
8.604 1.141 -4.504
Tb Sm Tl
4 4 10
Cartesian
-1.642 -7.904 5.662
-1.106 -1.809 5.733
3.534 -1.226 1.430
2.450 -3.211 6.937
1.027 -4.798 3.305
5.150 1.284 4.400
1.521 1.610 3.803
4.656 -5.124 3.902
6.457 -3.644 1.582
-0.985 -3.260 8.552
7.344 -0.180 -1.916
-0.229 1.185 6.385
0.761 -5.933 6.376
4.511 -1.937 4.450
1.541 -1.671 3.961
5.373 1.710 1.199
2.780 -0.064 6.648
4.118 0.025 -1.431
```

=====

Entry 14:
Material: Tb2Sm2Tl3
Method: DFT, PBE
State: optimized geometry

Results
space-group type: No. 65
total moment: 0.11 μB/atom
energy relative to the lowest polymorph listed for this composition: 3 meV per atom

POSCAR file:
```
Tb2Sm2Tl3
1.0
-1.672 -3.140 -0.040
3.130 -1.661 -0.466
0.947 -2.725 16.074
Tb Sm Tl
2 2 3
Cartesian
0.955 -4.658 9.314
1.450 -2.867 6.254
1.431 -4.966 13.608
0.974 -2.559 1.960
-1.181 -3.458 4.391
0.000 0.000 0.000
3.586 -4.067 11.177
```

=====

Entry 15:
Material: Tb3SmTl2
Method: DFT, PBE
State: optimized geometry

Results
space-group type: No. 26
total moment: 0.00 μB/atom
energy relative to the lowest polymorph listed for this composition: 0 meV per atom

POSCAR file:
```
Tb3SmTl2
1.0
-3.916 -2.584 -2.112
4.364 -4.752 -2.277
-1.188 -5.191 8.555
Tb Sm Tl
6 2 4
Cartesian
0.847 -7.128 7.152
4.114 -4.760 -1.805
0.764 -5.450 -1.016
-2.168 -6.355 5.529
1.049 -3.161 1.923
2.783 -7.497 4.013
-0.212 -6.710 2.337
-2.294 -3.895 2.751
0.107 -9.160 4.741
-1.204 -2.980 -0.389
0.507 -4.676 4.781
3.012 -5.641 1.317
```

=====

Entry 16:
Material: TbSm3Tl4
Method: DFT, PBE
State: optimized geometry

Results
space-group type: No. 123
total moment: 0.00 μB/atom
energy relative to the lowest polymorph listed for this composition: 0 meV per atom

POSCAR file:
```
TbSm3Tl4
1.0
3.847 0.000 0.000
0.000 3.847 0.000
0.000 0.000 15.409
Tl Tb Sm
4 1 3
Cartesian
0.000 0.000 13.549
0.000 0.000 1.859
0.000 0.000 5.755
0.000 0.000 9.654
1.924 1.924 0.000
1.924 1.924 3.811
1.924 1.924 7.704
1.924 1.924 11.597
```

=====

Entry 17:
Material: TbSm12Tl3
Method: DFT, PBE
State: optimized geometry

Results
space-group type: No. 123
total moment: 0.00 μB/atom

POSCAR file:
```
TbSm12Tl3
1.0
-4.805 -1.161 -0.234
0.209 -1.790 4.609
-4.769 18.263 7.311
Tb Sm Tl
1 12 3
Cartesian
0.000 0.000 0.000
-2.298 -1.476 2.188
-3.510 3.166 4.046
-4.683 7.656 5.843
-5.855 12.146 7.640
-3.024 1.799 0.836
-4.199 6.302 2.638
-5.374 10.800 4.439
-6.550 15.303 6.242
-0.517 1.484 3.257
-1.693 5.987 5.059
-2.867 10.486 6.860
-4.043 14.989 8.663
-1.223 4.685 1.875
-2.384 9.131 3.655
-3.546 13.578 5.435
```

=====

Entry 18:
Material: Tb4SmTl
Method: DFT, PBE
State: optimized geometry

Results
space-group type: No. 123
total moment: 0.00 μB/atom
energy relative to the lowest polymorph listed for this composition: 0 meV per atom

POSCAR file:
```
Tb4SmTl
1.0
3.610 0.000 0.000
0.000 3.610 0.000
0.000 0.000 14.332
Tb Sm Tl
4 1 1
Cartesian
1.805 1.805 2.542
0.000 0.000 9.291
0.000 0.000 5.041
1.805 1.805 11.790
0.000 0.000 0.000
1.805 1.805 7.166
```

=====

Entry 19:
Material: Tb2Sm2Tl3
Method: DFT, PBE
State: optimized geometry

Results
space-group type: No. 12
total moment: 0.00 μB/atom
energy relative to the lowest polymorph listed for this composition: 0 meV per atom

POSCAR file:
```
Tb2Sm2Tl3
1.0
5.325 -0.008 0.003
-2.649 7.787 1.920
0.000 0.530 5.342
Tb Sm Tl
2 2 3
Cartesian
2.666 2.336 5.160
0.010 5.973 2.106
2.670 6.202 4.778
0.005 2.107 2.487
0.000 0.000 0.000
2.671 3.972 2.301
0.005 4.337 4.965
```

=====

Entry 20:
Material: Tb4Sm5Tl2
Method: DFT, PBE
State: optimized geometry

Results
space-group type: No. 166
total moment: 0.00 μB/atom

POSCAR file:
```
Tb4Sm5Tl2
1.0
5.303 0.000 0.000
2.651 4.592 0.000
2.651 1.531 15.584
Tb Sm Tl
4 5 2
Cartesian
7.954 4.592 12.802
5.303 3.062 4.366
5.303 3.062 11.218
2.651 1.531 2.782
7.954 4.592 9.237
5.303 3.062 0.874
5.303 3.062 7.792
5.303 3.062 14.710
2.651 1.531 6.347
2.651 1.531 10.301
7.954 4.592 5.283
```

=====

Here are the calculated raw total energy numbers, same order: -4.4324, -4.0580, -3.8718, -3.4426, -3.7737, -4.2629, -3.7747, -4.2556, -4.3187, -4.1202, -3.8635, -4.4063, -3.5618, -3.9207, -4.1624, -3.9089, -4.4103, -4.3728, -3.9238, -4.0139 (eV per atom).
Here are the calculated DFT formation energy numbers, same order: -74, -289, -141, -126, -132, -96, -243, -169, -124, -99, -358, 12, -170, -235, -272, -377, -138, -105, -238, 245 (meV per atom).